1.
Density functional theory data (GGA-PBEsol) for a relaxed LiPSe2 crystal.

Output
Crystal system: tetragonal
Density: 4.32 g/cm³
Formation energy without anion corrections: -484 meV/atom

a = 3.672 Å, b = 3.672 Å, c = 5.590 Å
α = 90.00°, β = 90.00°, γ = 90.00°
Space group P4mm (No. 99)
Symmetry-distinct sites (fractional):
Li 0.000 0.000 0.000 [1 per cell]
P 0.500 0.500 0.439 [1 per cell]
Se 0.000 0.000 0.520 [1 per cell]
Se 0.500 0.500 0.042 [1 per cell]



2.
Density functional theory data (GGA-PBEsol) for a relaxed PdRhN2F crystal.

Output
Crystal system: tetragonal
Density: 7.29 g/cm³
Formation energy without anion corrections: 1305 meV/atom

a = 3.870 Å, b = 3.870 Å, c = 3.897 Å
α = 90.00°, β = 90.00°, γ = 90.00°
Space group P4/mmm (No. 123)
Symmetry-distinct sites (fractional):
Pd 0.000 0.000 0.000 [1 per cell]
Rh 0.500 0.500 0.500 [1 per cell]
N 0.000 0.500 0.000 [2 per cell]
F 0.000 0.000 0.500 [1 per cell]



3.
Density functional theory data (GGA-PBEsol) for a relaxed Mn3RePd crystal.

Output
Crystal system: cubic
Density: 7.97 g/cm³
Calculated formation energy: 1.882 eV per atom

a = 4.569 Å, b = 4.569 Å, c = 4.569 Å
α = 90.00°, β = 90.00°, γ = 90.00°
Space group Pm-3m (No. 221)
Symmetry-distinct sites (fractional):
Mn 0.000 0.000 0.500 [3 per cell]
Re 0.500 0.500 0.500 [1 per cell]
Pd 0.000 0.000 0.000 [1 per cell]



4.
Density functional theory data (GGA-PBEsol) for a relaxed MgAuBr2 crystal.

Output
Crystal system: orthorhombic
Density: 6.26 g/cm³
Formation energy without anion corrections: -341 meV/atom
E above lowest polymorph: 0.70 eV/f.u.

a = 3.674 Å, b = 5.715 Å, c = 9.622 Å
α = 90.00°, β = 90.00°, γ = 90.00°
Space group Cmmm (No. 65)
Symmetry-distinct sites (fractional):
Mg 0.000 0.000 0.000 [2 per cell]
Au 0.000 0.000 0.500 [2 per cell]
Br 0.000 0.500 0.182 [4 per cell]



5.
Density functional theory data (GGA-PBEsol) for a relaxed SrZnTe2I crystal.

Output
Crystal system: tetragonal
Density: 5.55 g/cm³
Formation energy without anion corrections: -594 meV/atom

a = 5.238 Å, b = 5.238 Å, c = 5.840 Å
α = 90.00°, β = 90.00°, γ = 90.00°
Space group P4/mmm (No. 123)
Symmetry-distinct sites (fractional):
Sr 0.000 0.000 0.000 [1 per cell]
Zn 0.500 0.500 0.500 [1 per cell]
Te 0.000 0.500 0.500 [2 per cell]
I 0.500 0.500 0.000 [1 per cell]



6.
Density functional theory data (GGA-PBEsol) for a relaxed CuSi2Sb crystal.

Output
Crystal system: trigonal
Density: 5.76 g/cm³
Formation energy without anion corrections: 210 meV/atom

a = 3.7210 Å, b = 3.7210 Å, c = 17.4288 Å
α = 90.00°, β = 90.00°, γ = 120.00°
Space group R3m (No. 160, hexagonal axes)
Symmetry-distinct sites (fractional):
Cu 0.0000 0.0000 0.0000 [3 per cell]
Si 0.0000 0.0000 0.4673 [3 per cell]
Si 0.0000 0.0000 0.7336 [3 per cell]
Sb 0.0000 0.0000 0.2442 [3 per cell]



7.
Density functional theory data (GGA-PBEsol) for a relaxed P2RuW crystal.

Output
Crystal system: orthorhombic
Density: 10.43 g/cm³
Calculated formation energy: 0.186 eV per atom

a = 2.933 Å, b = 3.809 Å, c = 4.941 Å
α = 90.00°, β = 90.00°, γ = 90.00°
Space group Pmmm (No. 47)
Symmetry-distinct sites (fractional):
P 0.000 0.000 0.000 [1 per cell]
P 0.500 0.000 0.500 [1 per cell]
Ru 0.000 0.500 0.500 [1 per cell]
W 0.500 0.500 0.000 [1 per cell]



8.
Density functional theory data (GGA-PBEsol) for a relaxed MnTc2Ru crystal.

Output
Crystal system: orthorhombic
Density: 11.20 g/cm³
Calculated formation energy: 0.086 eV per atom
E above lowest polymorph: 0.00 eV/f.u.

a = 4.057 Å, b = 2.655 Å, c = 9.691 Å
α = 90.00°, β = 90.00°, γ = 90.00°
Space group Amm2 (No. 38)
Symmetry-distinct sites (fractional):
Mn 0.000 0.000 0.000 [2 per cell]
Tc 0.000 0.000 0.742 [2 per cell]
Tc 0.500 0.000 0.119 [2 per cell]
Ru 0.500 0.000 0.386 [2 per cell]



9.
Density functional theory data (GGA-PBEsol) for a relaxed TlOsSCl2 crystal.

Output
Crystal system: tetragonal
Density: 6.14 g/cm³
Formation energy without anion corrections: 1389 meV/atom

a = 5.159 Å, b = 5.159 Å, c = 5.056 Å
α = 90.00°, β = 90.00°, γ = 90.00°
Space group P4/mmm (No. 123)
Symmetry-distinct sites (fractional):
Tl 0.000 0.000 0.000 [1 per cell]
Os 0.500 0.500 0.500 [1 per cell]
S 0.000 0.000 0.500 [1 per cell]
Cl 0.000 0.500 0.000 [2 per cell]



10.
Density functional theory data (GGA-PBEsol) for a relaxed Sr2MgMoO crystal.

Output
Crystal system: tetragonal
Density: 4.66 g/cm³
Formation energy without anion corrections: -283 meV/atom

a = 5.203 Å, b = 5.203 Å, c = 4.097 Å
α = 90.00°, β = 90.00°, γ = 90.00°
Space group P4/mmm (No. 123)
Symmetry-distinct sites (fractional):
Sr 0.000 0.500 0.000 [2 per cell]
Mg 0.000 0.000 0.500 [1 per cell]
Mo 0.500 0.500 0.500 [1 per cell]
O 0.000 0.000 0.000 [1 per cell]



11.
Density functional theory data (GGA-PBEsol) for a relaxed Mn2CdCl crystal.

Output
Crystal system: tetragonal
Density: 6.35 g/cm³
Formation energy without anion corrections: 112 meV/atom
E above lowest polymorph: 0.00 eV/f.u.

a = 2.950 Å, b = 2.950 Å, c = 7.744 Å
α = 90.00°, β = 90.00°, γ = 90.00°
Space group P4mm (No. 99)
Symmetry-distinct sites (fractional):
Mn 0.000 0.000 0.000 [1 per cell]
Mn 0.500 0.500 0.184 [1 per cell]
Cd 0.000 0.000 0.419 [1 per cell]
Cl 0.500 0.500 0.803 [1 per cell]



12.
Density functional theory data (GGA-PBEsol) for a relaxed SbPdS crystal.

Output
Crystal system: cubic
Density: 7.41 g/cm³
Formation energy without anion corrections: -458 meV/atom

a = 6.156 Å, b = 6.156 Å, c = 6.156 Å
α = 90.00°, β = 90.00°, γ = 90.00°
Space group P2_13 (No. 198)
Symmetry-distinct sites (fractional):
Sb 0.124 0.376 0.624 [4 per cell]
Pd 0.014 0.986 0.486 [4 per cell]
S 0.112 0.112 0.112 [4 per cell]



13.
Density functional theory data (GGA-PBEsol) for a relaxed Nd9Ga5Se21 crystal.

Output
Crystal system: trigonal
Density: 6.35 g/cm³
Formation energy without anion corrections: -1424 meV/atom

a = 17.7325 Å, b = 17.7325 Å, c = 19.0456 Å
α = 90.00°, β = 90.00°, γ = 120.00°
Space group R3 (No. 146, hexagonal axes)
Symmetry-distinct sites (fractional):
Nd 0.0129 0.8181 0.0000 [9 per cell]
Nd 0.0209 0.8219 0.3172 [9 per cell]
Nd 0.0258 0.8273 0.6574 [9 per cell]
Nd 0.1551 0.4685 0.4818 [9 per cell]
Nd 0.1556 0.4673 0.1645 [9 per cell]
Nd 0.1573 0.4703 0.8280 [9 per cell]
Ga 0.0000 0.0000 0.2229 [3 per cell]
Ga 0.0000 0.0000 0.4300 [3 per cell]
Ga 0.0000 0.0000 0.7215 [3 per cell]
Ga 0.0000 0.0000 0.9287 [3 per cell]
Ga 0.0034 0.3402 0.6862 [9 per cell]
Ga 0.0045 0.6681 0.5195 [9 per cell]
Se 0.0017 0.3310 0.8948 [9 per cell]
Se 0.0043 0.6704 0.3947 [9 per cell]
Se 0.0059 0.4629 0.3996 [9 per cell]
Se 0.0111 0.8861 0.7998 [9 per cell]
Se 0.0125 0.8787 0.4681 [9 per cell]
Se 0.0131 0.8796 0.1493 [9 per cell]
Se 0.0158 0.4690 0.7383 [9 per cell]
Se 0.0222 0.4638 0.0670 [9 per cell]
Se 0.1249 0.0117 0.3028 [9 per cell]
Se 0.1267 0.7882 0.9038 [9 per cell]
Se 0.1313 0.0074 0.9663 [9 per cell]
Se 0.1316 0.7774 0.2350 [9 per cell]
Se 0.1356 0.0161 0.6473 [9 per cell]
Se 0.1360 0.7866 0.5663 [9 per cell]



14.
Density functional theory data (GGA-PBEsol) for a relaxed TaSbMo3 crystal.

Output
Crystal system: cubic
Density: 9.18 g/cm³
Formation energy without anion corrections: 2121 meV/atom
E above lowest polymorph: 1.63 eV/f.u.

a = 4.744 Å, b = 4.744 Å, c = 4.744 Å
α = 90.00°, β = 90.00°, γ = 90.00°
Space group Pm-3m (No. 221)
Symmetry-distinct sites (fractional):
Ta 0.000 0.000 0.000 [1 per cell]
Sb 0.500 0.500 0.500 [1 per cell]
Mo 0.000 0.500 0.500 [3 per cell]



15.
Density functional theory data (GGA-PBEsol) for a relaxed KY2Au crystal.

Output
Crystal system: tetragonal
Density: 6.56 g/cm³
Calculated formation energy: 0.183 eV per atom

a = 5.103 Å, b = 5.103 Å, c = 4.022 Å
α = 90.00°, β = 90.00°, γ = 90.00°
Space group P4/mmm (No. 123)
Symmetry-distinct sites (fractional):
K 0.000 0.000 0.000 [1 per cell]
Y 0.000 0.500 0.500 [2 per cell]
Au 0.500 0.500 0.000 [1 per cell]



16.
Density functional theory data (GGA-PBEsol) for a relaxed LiY2Re crystal.

Output
Crystal system: tetragonal
Density: 6.62 g/cm³
Calculated formation energy: 0.109 eV per atom

a = 3.418 Å, b = 3.418 Å, c = 7.958 Å
α = 90.00°, β = 90.00°, γ = 90.00°
Space group P4/mmm (No. 123)
Symmetry-distinct sites (fractional):
Li 0.000 0.000 0.000 [1 per cell]
Y 0.500 0.500 0.296 [2 per cell]
Re 0.000 0.000 0.500 [1 per cell]



17.
Density functional theory data (GGA-PBEsol) for a relaxed YAl2Fe2 crystal.

Output
Crystal system: tetragonal
Density: 5.34 g/cm³
Calculated formation energy: -0.216 eV per atom

a = 4.026 Å, b = 4.026 Å, c = 9.773 Å
α = 90.00°, β = 90.00°, γ = 90.00°
Space group I4/mmm (No. 139)
Symmetry-distinct sites (fractional):
Y 0.000 0.000 0.000 [2 per cell]
Al 0.000 0.500 0.250 [4 per cell]
Fe 0.000 0.000 0.395 [4 per cell]



18.
Density functional theory data (GGA-PBEsol) for a relaxed Li3FeO4 crystal.

Output
Crystal system: orthorhombic
Density: 3.69 g/cm³
Formation energy without anion corrections: -1671 meV/atom
E above lowest polymorph: 0.42 eV/f.u.

a = 5.815 Å, b = 7.882 Å, c = 2.761 Å
α = 90.00°, β = 90.00°, γ = 90.00°
Space group Cmmm (No. 65)
Symmetry-distinct sites (fractional):
Li 0.000 0.000 0.000 [2 per cell]
Li 0.250 0.250 0.500 [4 per cell]
Fe 0.000 0.500 0.000 [2 per cell]
O 0.000 0.272 0.000 [4 per cell]
O 0.223 0.500 0.500 [4 per cell]



19.
Density functional theory data (GGA-PBEsol) for a relaxed Zr5Al3C crystal.

Output
Crystal system: hexagonal
Density: 5.57 g/cm³
Calculated formation energy: -0.534 eV per atom

a = 8.2651 Å, b = 8.2651 Å, c = 5.5323 Å
α = 90.00°, β = 90.00°, γ = 120.00°
Space group P6_3/mcm (No. 193)
Symmetry-distinct sites (fractional):
Zr 0.0000 0.2238 0.2500 [6 per cell]
Zr 0.3333 0.6667 0.0000 [4 per cell]
Al 0.0000 0.3995 0.7500 [6 per cell]
C 0.0000 0.0000 0.0000 [2 per cell]



20.
Density functional theory data (GGA-PBEsol) for a relaxed BaSiRh2 crystal.

Output
Crystal system: tetragonal
Density: 8.12 g/cm³
Formation energy without anion corrections: -78 meV/atom

a = 3.256 Å, b = 3.256 Å, c = 7.161 Å
α = 90.00°, β = 90.00°, γ = 90.00°
Space group P4mm (No. 99)
Symmetry-distinct sites (fractional):
Ba 0.000 0.000 0.000 [1 per cell]
Si 0.500 0.500 0.638 [1 per cell]
Rh 0.000 0.000 0.527 [1 per cell]
Rh 0.500 0.500 0.302 [1 per cell]



21.
Density functional theory data (GGA-PBEsol) for a relaxed Li4Al3Ge3IO12 crystal.

Output
Crystal system: cubic
Density: 3.23 g/cm³
Formation energy without anion corrections: -2233 meV/atom

a = 8.727 Å, b = 8.727 Å, c = 8.727 Å
α = 90.00°, β = 90.00°, γ = 90.00°
Space group P-43n (No. 218)
Symmetry-distinct sites (fractional):
Li 0.189 0.189 0.189 [8 per cell]
Al 0.000 0.250 0.500 [6 per cell]
Ge 0.000 0.500 0.250 [6 per cell]
I 0.000 0.000 0.000 [2 per cell]
O 0.094 0.360 0.640 [24 per cell]



22.
Density functional theory data (GGA-PBEsol) for a relaxed YRh2Pb crystal.

Output
Crystal system: tetragonal
Density: 11.40 g/cm³
Calculated formation energy: -0.530 eV per atom

a = 4.454 Å, b = 4.454 Å, c = 3.686 Å
α = 90.00°, β = 90.00°, γ = 90.00°
Space group P4/mmm (No. 123)
Symmetry-distinct sites (fractional):
Y 0.000 0.000 0.000 [1 per cell]
Rh 0.000 0.500 0.500 [2 per cell]
Pb 0.500 0.500 0.000 [1 per cell]